# CrPRhO2 GGA+U relaxed
# energy above the most stable polymorph in this dataset	0.0	meV per atom
# V	72	Å³ per cell
# N(E_F)	4.430	states/eV/f.u.
data_CrPRhO2
_cell_length_a 3.557
_cell_length_b 3.557
_cell_length_c 5.713
_cell_angle_alpha 90.00
_cell_angle_beta 90.00
_cell_angle_gamma 90.00
_space_group_name_H-M_alt 'P 1'
_space_group_IT_number 1
_space_group_name_Hall 'P 1'
loop_
_atom_site_label
_atom_site_type_symbol
_atom_site_fract_x
_atom_site_fract_y
_atom_site_fract_z
Cr1 Cr 0.000 0.000 0.000
Rh1 Rh 0.500 0.500 0.500
O1 O 0.000 0.500 0.000
O2 O 0.500 0.000 0.000
P1 P 0.000 0.000 0.500